Density functional theory data (PBE-GGA) for Ta2MnCl after structural relaxation.

Cell: 2.9679 3.0059 7.5279 Å, 90.00 90.00 90.00°
Fractional coordinates of all 4 atoms:
Ta  0.0000  0.0000  0.2050
Ta  0.0000  0.0000  0.7950
Mn  0.5000  0.5000  0.0000
Cl  0.5000  0.0000  0.5000

Output
**Energy above the lowest structure with this stoichiometry**: 0 meV per atom
**Energy relative to the elements, uncorrected**: -48 meV/atom

***

Density functional theory data (PBE-GGA) for ScGa3Ni after structural relaxation.

Cell: 5.1102 5.1102 5.1102 Å, 90.00 90.00 90.00°
Fractional coordinates of all 5 atoms:
Sc  0.0000  0.0000  0.0000
Ga  0.0000  0.0000  0.5000
Ga  0.0000  0.5000  0.0000
Ga  0.5000  0.0000  0.0000
Ni  0.5000  0.5000  0.5000

Output
**Energy above the lowest structure with this stoichiometry**: 1560 meV per atom